# ErTmIr (PBE, relaxed)
# - crystal system = orthorhombic
# - DFT formation energy (eV per atom) = -0.78
data_ErTmIr
_chemical_formula_sum 'Er4 Tm4 Ir4'
_cell_length_a 7.151
_cell_length_b 4.540
_cell_length_c 8.672
_cell_angle_alpha 90.00
_cell_angle_beta 90.00
_cell_angle_gamma 90.00
_symmetry_space_group_name_H-M 'P n m a'
_symmetry_Int_Tables_number 62
loop_
_symmetry_equiv_pos_as_xyz
'x,y,z'
'-x,-y,-z'
'-x+1/2,-y,z+1/2'
'x+1/2,y,-z+1/2'
'x+1/2,-y+1/2,-z+1/2'
'-x+1/2,y+1/2,z+1/2'
'-x,y+1/2,-z'
'x,-y+1/2,z'
loop_
_atom_site_label
_atom_site_type_symbol
_atom_site_fract_x
_atom_site_fract_y
_atom_site_fract_z
Er1 Er 0.010 0.250 0.162
Tm1 Tm 0.142 0.250 0.579
Ir1 Ir 0.244 0.250 0.905

# Ta5Re (PBE, relaxed)
# - crystal system = hexagonal
# - DFT formation energy (eV per atom) = -0.06
data_Ta5Re
_chemical_formula_sum 'Ta10 Re2'
_cell_length_a 5.4794
_cell_length_b 5.4794
_cell_length_c 8.4557
_cell_angle_alpha 90.00
_cell_angle_beta 90.00
_cell_angle_gamma 120.00
_symmetry_space_group_name_H-M 'P 63/m m c'
_symmetry_Int_Tables_number 194
_symmetry_space_group_name_Hall '-P 6c 2c'
loop_
_atom_site_label
_atom_site_type_symbol
_atom_site_fract_x
_atom_site_fract_y
_atom_site_fract_z
Ta1 Ta 0.1687 0.3374 0.2500
Ta2 Ta 0.3333 0.6667 0.5595
Re1 Re 0.0000 0.0000 0.0000

# Tm3Mg3Tl2In (PBE, relaxed)
# - crystal system = hexagonal
# - E_tot (eV/atom) = -3.147
data_Tm3Mg3Tl2In
_chemical_formula_sum 'Tm3 Mg3 Tl2 In1'
_cell_length_a 7.4477
_cell_length_b 7.4477
_cell_length_c 4.6372
_cell_angle_alpha 90.00
_cell_angle_beta 90.00
_cell_angle_gamma 120.00
_symmetry_space_group_name_H-M 'P -6 2 m'
_symmetry_Int_Tables_number 189
_symmetry_space_group_name_Hall 'P -6 -2'
loop_
_atom_site_label
_atom_site_type_symbol
_atom_site_fract_x
_atom_site_fract_y
_atom_site_fract_z
Tm1 Tm 0.0000 0.4360 0.0000
Mg1 Mg 0.0000 0.7588 0.5000
Tl1 Tl 0.3333 0.6667 0.5000
In1 In 0.0000 0.0000 0.0000

# Cu17Ag3 (PBE, relaxed)
# - crystal system = triclinic
# - DFT formation energy (eV per atom) = 0.06
data_Cu17Ag3
_chemical_formula_sum 'Cu34 Ag6'
_cell_length_a 5.823
_cell_length_b 9.074
_cell_length_c 10.473
_cell_angle_alpha 72.93
_cell_angle_beta 77.09
_cell_angle_gamma 75.16
_symmetry_space_group_name_H-M 'P 1'
_symmetry_Int_Tables_number 1
loop_
_symmetry_equiv_pos_as_xyz
'x,y,z'
loop_
_atom_site_label
_atom_site_type_symbol
_atom_site_fract_x
_atom_site_fract_y
_atom_site_fract_z
Cu1 Cu 0.000 0.000 0.000
Cu2 Cu 0.000 0.496 0.004
Cu3 Cu 0.002 0.485 0.264
Cu4 Cu 0.003 0.994 0.755
Cu5 Cu 0.004 0.003 0.258
Cu6 Cu 0.191 0.703 0.047
Cu7 Cu 0.196 0.192 0.052
Cu8 Cu 0.199 0.707 0.562
Cu9 Cu 0.200 0.188 0.557
Cu10 Cu 0.201 0.701 0.806
Cu11 Cu 0.202 0.188 0.312
Cu12 Cu 0.206 0.186 0.808
Cu13 Cu 0.387 0.907 0.099
Cu14 Cu 0.397 0.903 0.364
Cu15 Cu 0.399 0.899 0.609
Cu16 Cu 0.400 0.897 0.856
Cu17 Cu 0.406 0.381 0.359
Cu18 Cu 0.415 0.393 0.854
Cu19 Cu 0.590 0.605 0.900
Cu20 Cu 0.591 0.604 0.657
Cu21 Cu 0.597 0.097 0.157
Cu22 Cu 0.601 0.095 0.906
Cu23 Cu 0.604 0.093 0.408
Cu24 Cu 0.606 0.089 0.658
Cu25 Cu 0.613 0.597 0.412
Cu26 Cu 0.793 0.799 0.467
Cu27 Cu 0.796 0.803 0.706
Cu28 Cu 0.800 0.802 0.946
Cu29 Cu 0.805 0.288 0.958
Cu30 Cu 0.811 0.283 0.709
Cu31 Cu 0.811 0.287 0.454
Cu32 Cu 0.815 0.287 0.208
Cu33 Cu 0.988 0.487 0.509
Cu34 Cu 0.999 0.995 0.508
Ag1 Ag 0.204 0.693 0.316
Ag2 Ag 0.395 0.391 0.105
Ag3 Ag 0.410 0.393 0.603
Ag4 Ag 0.608 0.594 0.152
Ag5 Ag 0.795 0.805 0.206
Ag6 Ag 0.993 0.497 0.758